# HfZr2MnP

A relaxed structure of HfZr2MnP (PBE, Alexandria).

Calculated values
DFT total energy: -8.41 eV/atom
ρ: 7.4 Mg/m³
Crystal system: tetragonal

Cell lengths 4.939, 4.939, 4.124 Å; angles 90.00, 90.00, 90.00 degrees
Space group P4/mmm (No. 123)
Unique sites:
Hf: 0.000 0.000 0.000 x1
Zr: 0.000 0.500 0.500 x2
Mn: 0.500 0.500 0.000 x1
P: 0.500 0.500 0.500 x1

# Li2Sc2Sb

A relaxed structure of Li2Sc2Sb (PBE, Alexandria).

Calculated values
DFT total energy: -4.39 eV/atom
ρ: 3.8 Mg/m³
Crystal system: tetragonal
Formation energy without anion corrections: -0.2701 eV/atom

Cell lengths 6.762, 6.762, 4.366 Å; angles 90.00, 90.00, 90.00 degrees
Space group P4/mbm (No. 127)
Unique sites:
Li: 0.130 0.370 0.000 x4
Sc: 0.173 0.673 0.500 x4
Sb: 0.000 0.000 0.000 x2

# Na3MnSb2

A relaxed structure of Na3MnSb2 (PBE, Alexandria).

Calculated values
DFT total energy: -3.81 eV/atom
ρ: 3.7 Mg/m³
Crystal system: orthorhombic
Formation energy without anion corrections: -0.2467 eV/atom

Cell lengths 6.636, 15.290, 6.568 Å; angles 90.00, 90.00, 90.00 degrees
Space group Ibam (No. 72)
Unique sites:
Na: 0.000 0.000 0.250 x4
Na: 0.236 0.178 0.000 x8
Mn: 0.000 0.500 0.250 x4
Sb: 0.197 0.386 0.000 x8

# Ba2Ag4BiSb3

A relaxed structure of Ba2Ag4BiSb3 (PBE, Alexandria).

Calculated values
DFT total energy: -3.63 eV/atom
ρ: 7.5 Mg/m³
Crystal system: tetragonal
Formation energy without anion corrections: -0.4841 eV/atom

Cell lengths 4.877, 4.877, 11.960 Å; angles 90.00, 90.00, 90.00 degrees
Space group P-4m2 (No. 115)
Unique sites:
Ba: 0.000 0.500 0.236 x2
Ag: 0.000 0.000 0.000 x1
Ag: 0.000 0.500 0.641 x2
Ag: 0.500 0.500 0.000 x1
Bi: 0.000 0.000 0.500 x1
Sb: 0.000 0.500 0.871 x2
Sb: 0.500 0.500 0.500 x1

# B4C

A relaxed structure of B4C (PBE, Alexandria).

Calculated values
DFT total energy: -6.61 eV/atom
ρ: 2.6 Mg/m³
Crystal system: trigonal
Excess energy over the best structure of this formula in the dataset: 682.6 meV per atom

Cell lengths 2.5152, 2.5152, 39.1051 Å; angles 90.00, 90.00, 120.00 degrees
Space group R-3m (No. 166, hexagonal axes)
Unique sites:
B: 0.0000 0.0000 0.0213 x6
B: 0.0000 0.0000 0.2139 x6
B: 0.0000 0.0000 0.3826 x6
B: 0.0000 0.0000 0.4253 x6
C: 0.0000 0.0000 0.1734 x6

# ZrTiS4

A relaxed structure of ZrTiS4 (PBE, Alexandria).

Calculated values
DFT total energy: -6.86 eV/atom
ρ: 3.2 Mg/m³
Crystal system: trigonal
Formation energy without anion corrections: -1.3675 eV/atom

Cell lengths 3.5655, 3.5655, 12.7947 Å; angles 90.00, 90.00, 120.00 degrees
Space group P-3m1 (No. 164)
Unique sites:
Zr: 0.0000 0.0000 0.0000 x1
Ti: 0.0000 0.0000 0.5000 x1
S: 0.3333 0.6667 0.1184 x2
S: 0.3333 0.6667 0.6060 x2

# Ti2CrCoH

A relaxed structure of Ti2CrCoH (PBE, Alexandria).

Calculated values
DFT total energy: -7.38 eV/atom
ρ: 6.1 Mg/m³
Crystal system: tetragonal
Excess energy over the best structure of this formula in the dataset: 0.0 meV per atom

Cell lengths 4.189, 4.189, 3.221 Å; angles 90.00, 90.00, 90.00 degrees
Space group P4/mmm (No. 123)
Unique sites:
Ti: 0.000 0.500 0.000 x2
Cr: 0.000 0.000 0.500 x1
Co: 0.500 0.500 0.500 x1
H: 0.500 0.500 0.000 x1

# Y2ZrMn

A relaxed structure of Y2ZrMn (PBE, Alexandria).

Calculated values
DFT total energy: -7.41 eV/atom
ρ: 5.6 Mg/m³
Crystal system: orthorhombic
Excess energy over the best structure of this formula in the dataset: 150.4 meV per atom

Cell lengths 3.657, 5.015, 10.547 Å; angles 90.00, 90.00, 90.00 degrees
Space group Immm (No. 71)
Unique sites:
Y: 0.000 0.000 0.211 x4
Zr: 0.000 0.500 0.000 x2
Mn: 0.000 0.500 0.500 x2

# LiUSnO6

A relaxed structure of LiUSnO6 (PBE, Alexandria).

Calculated values
DFT total energy: -7.21 eV/atom
ρ: 6.2 Mg/m³
Crystal system: trigonal
Formation energy without anion corrections: -1.9959 eV/atom

Cell lengths 5.5136, 5.5136, 9.3506 Å; angles 90.00, 90.00, 120.00 degrees
Space group P-31c (No. 163)
Unique sites:
Li: 0.0000 0.0000 0.0000 x2
U: 0.3333 0.6667 0.2500 x2
Sn: 0.3333 0.6667 0.7500 x2
O: 0.0022 0.3538 0.1338 x12

# Li2CeAgS4

A relaxed structure of Li2CeAgS4 (PBE, Alexandria).

Calculated values
DFT total energy: -4.75 eV/atom
ρ: 4.2 Mg/m³
Crystal system: orthorhombic
Formation energy without anion corrections: -1.1122 eV/atom

Cell lengths 7.757, 10.342, 7.757 Å; angles 90.00, 90.00, 90.00 degrees
Space group Fmm2 (No. 42)
Unique sites:
Li: 0.250 0.250 0.000 x8
Ce: 0.000 0.000 0.249 x4
Ag: 0.000 0.000 0.749 x4
S: 0.000 0.248 0.749 x8
S: 0.250 0.000 0.499 x8

# Ac6TlRh2

A relaxed structure of Ac6TlRh2 (PBE, Alexandria).

Calculated values
DFT total energy: -5.07 eV/atom
ρ: 9.4 Mg/m³
Crystal system: orthorhombic
Excess energy over the best structure of this formula in the dataset: 0.0 meV per atom

Cell lengths 10.190, 10.797, 11.331 Å; angles 90.00, 90.00, 90.00 degrees
Space group Immm (No. 71)
Unique sites:
Ac: 0.000 0.200 0.230 x8
Ac: 0.187 0.500 0.167 x8
Ac: 0.202 0.325 0.500 x8
Tl: 0.000 0.000 0.000 x2
Tl: 0.000 0.000 0.500 x2
Rh: 0.000 0.336 0.000 x4
Rh: 0.000 0.500 0.364 x4

# ZnTe3H

A relaxed structure of ZnTe3H (PBE, Alexandria).

Calculated values
DFT total energy: -1.99 eV/atom
ρ: 4.8 Mg/m³
Crystal system: cubic
Excess energy over the best structure of this formula in the dataset: 232.0 meV per atom

Cell lengths 5.360, 5.360, 5.360 Å; angles 90.00, 90.00, 90.00 degrees
Space group Pm-3m (No. 221)
Unique sites:
Zn: 0.000 0.000 0.000 x1
Te: 0.000 0.000 0.500 x3
H: 0.500 0.500 0.500 x1